VASP calculation (PBE) on a relaxed Pb2AuBr crystal.

It has space group C2/m (No. 12), with a = 8.309 Å, b = 8.346 Å, c = 3.451 Å, α = 90.00°, β = 110.17° and γ = 90.00°. The inequivalent atoms are Pb at (0.250, 0.250, 0.000), Au at (0.000, 0.000, 0.500) and Br at (0.000, 0.500, 0.500).

The calculation puts the total energy at -3.247 eV/atom. The calculation puts the density of states at the Fermi level at 2.146 states/eV per cell. The value obtained for the energy above the lowest structure with this stoichiometry is 143 meV/atom. The spin magnetization comes out at 0.0 Bohr magnetons per cell. The value obtained for the theoretical density is 10.2 g/cm3. The formation energy from raw total energies comes out at -0.62 eV/f.u.